# LiAsPdO | OQMD via LeMat-Bulk | PBE | relaxed
# V = 114.2 Å³ per cell
# total DFT energy (no corrections) = -4.83 eV per atom
data_LiAsPdO
_cell_length_a 3.561
_cell_length_b 7.135
_cell_length_c 4.493
_cell_angle_alpha 90.00
_cell_angle_beta 90.00
_cell_angle_gamma 90.00
_space_group_name_H-M_alt 'P m c 21'
_space_group_IT_number 26
loop_
_space_group_symop_operation_xyz
'x,y,z'
'-x,-y,z+1/2'
'-x,y,z'
'x,-y,z+1/2'
loop_
_atom_site_label
_atom_site_type_symbol
_atom_site_fract_x
_atom_site_fract_y
_atom_site_fract_z
_atom_site_occupancy
Li1 Li 0.000 0.172 0.000 1
As1 As 0.000 0.416 0.501 1
Pd1 Pd 0.500 0.181 0.501 1
O1 O 0.500 0.125 0.001 1